42
Lattice="7.663 4.424 2.563 -7.663 4.424 2.563 0.000 -8.849 2.563" Properties=species:S:1:pos:R:3 comment="DySiHO4, optimized geometry, DFT GGA-PBE" dft_energy_ev_per_atom=-7.39 pbc="T T T"
Dy -3.615 -0.244 2.616
Dy 2.019 -3.009 2.616
Dy -1.596 -3.253 5.073
Dy 1.596 3.253 2.616
Dy -2.019 3.009 5.073
Dy 3.615 0.244 5.073
Si -0.675 -5.352 3.034
Si -4.973 -2.091 4.654
Si -4.297 3.261 3.034
Si 4.297 -3.261 4.654
Si 4.973 2.091 3.034
Si 0.675 5.352 4.654
H -0.791 -1.896 1.484
H -1.246 1.633 1.484
H 2.037 0.263 1.484
H -2.037 -0.263 6.204
H 1.246 -1.633 6.204
H 0.791 1.896 6.204
O -4.908 -5.464 4.119
O -1.735 -1.582 1.663
O -7.186 1.518 3.570
O -2.096 -4.613 3.295
O -3.479 -2.435 4.009
O -5.042 -0.492 4.394
O -0.502 2.293 1.663
O -3.848 1.795 3.680
O 2.237 -0.712 1.663
O 0.369 -4.231 3.680
O 2.278 -6.982 3.570
O -2.947 4.121 3.295
O 2.947 -4.121 4.394
O -2.278 6.982 4.119
O -0.369 4.231 4.009
O -2.237 0.712 6.025
O 3.848 -1.795 4.009
O 0.502 -2.293 6.025
O 5.042 0.492 3.295
O 3.479 2.435 3.680
O 2.096 4.613 4.394
O 7.186 -1.518 4.119
O 1.735 1.582 6.025
O 4.908 5.464 3.570


28
Lattice="9.640 0.000 0.000 0.000 7.036 0.000 0.000 0.000 4.397" Properties=species:S:1:pos:R:3 comment="DySiHO4, optimized geometry, DFT GGA-PBE" dft_energy_ev_per_atom=-7.30 pbc="T T T"
Dy 0.871 1.759 0.652
Dy 3.949 5.277 2.851
Dy 5.691 1.759 1.546
Dy 8.769 5.277 3.745
Si 1.466 5.277 1.499
Si 3.354 1.759 3.697
Si 6.286 5.277 0.699
Si 8.174 1.759 2.898
H 0.000 0.000 2.198
H 0.000 3.518 2.198
H 4.820 0.000 0.000
H 4.820 3.518 0.000
O 0.524 3.948 1.164
O 0.524 6.606 1.164
O 1.587 5.277 3.118
O 1.854 1.759 3.103
O 2.966 5.277 0.905
O 3.233 1.759 0.920
O 4.296 0.430 3.362
O 4.296 3.088 3.362
O 5.344 3.948 1.034
O 5.344 6.606 1.034
O 6.407 5.277 3.477
O 6.674 1.759 3.492
O 7.786 5.277 1.294
O 8.053 1.759 1.279
O 9.116 0.430 3.233
O 9.116 3.088 3.233


28
Lattice="5.380 0.000 0.000 0.000 6.152 0.000 -4.729 0.000 9.965" Properties=species:S:1:pos:R:3 comment="DySiHO4, optimized geometry, DFT GGA-PBE" dft_energy_ev_per_atom=-7.46 pbc="T T T"
Dy -1.278 0.620 3.500
Dy -3.642 2.456 8.482
Dy 4.293 3.696 1.483
Dy 1.929 5.532 6.465
Si -0.916 1.020 6.520
Si 1.449 2.056 1.537
Si -0.798 4.096 8.428
Si 1.567 5.132 3.445
H -0.895 3.170 5.544
H 1.470 6.058 0.561
H -0.819 0.094 9.404
H 1.546 2.982 4.421
O -2.202 1.031 7.508
O 0.162 2.045 2.525
O -2.235 4.072 7.688
O 0.129 5.156 2.705
O 1.343 0.853 0.355
O -1.021 2.223 5.338
O 1.238 3.363 0.576
O -1.127 5.865 5.559
O 1.778 0.287 4.406
O -0.587 2.789 9.388
O 1.672 3.929 4.627
O -0.692 5.298 9.610
O 0.522 0.996 7.259
O 2.886 2.080 2.277
O 0.489 4.107 7.439
O 2.853 5.121 2.457


14
Lattice="4.460 0.000 0.000 0.000 6.655 0.000 -0.590 0.000 4.801" Properties=species:S:1:pos:R:3 comment="DySiHO4, optimized geometry, DFT GGA-PBE" dft_energy_ev_per_atom=-7.41 pbc="T T T"
Dy 0.206 1.664 0.948
Dy 3.664 4.991 3.853
Si 1.743 4.991 1.488
Si 2.127 1.664 3.313
H 2.230 0.000 0.000
H 2.230 3.328 0.000
O 0.504 1.664 3.303
O 1.210 3.708 0.561
O 1.210 6.275 0.561
O 1.263 4.991 3.013
O 2.607 1.664 1.788
O 2.660 0.380 4.241
O 2.660 2.947 4.241
O 3.366 4.991 1.498